The following is a DFT calculation (PBE) of a geometry-optimized Sc2Ti2As structure.

Output
Its calculated formation energy is -28.38 kJ/mol of atoms. The calculation puts the total DFT energy (no corrections) at -6.915 eV per atom. For the total moment, the calculation gives 0.8 μB/f.u. The volume comes out at 197 Å³ per cell.

Lattice parameters (Å, degrees): 6.7620 6.7620 4.3181 90.00 90.00 90.00
Each line ends with the local moment (μB).
Fractional coordinates of all 10 atoms:
Sc 0.1572 0.6572 0.5000  0.08
Sc 0.6572 0.8428 0.5000  0.08
Sc 0.8428 0.3428 0.5000  0.08
Sc 0.3428 0.1572 0.5000  0.08
As 0.0000 0.0000 0.0000  -0.01
As 0.5000 0.5000 0.0000  -0.01
Ti 0.3577 0.8577 0.0000  0.22
Ti 0.8577 0.6423 0.0000  0.22
Ti 0.6423 0.1423 0.0000  0.22
Ti 0.1423 0.3577 0.0000  0.22

***

The following is a DFT calculation (PBE) of a geometry-optimized Tc2MoAs2 structure.

Output
Its calculated formation energy is 13.54 kJ/mol of atoms. The calculation puts the total DFT energy (no corrections) at -8.032 eV per atom. For the total moment, the calculation gives 0.0 μB/f.u. The volume comes out at 151 Å³ per cell.

Lattice parameters (Å, degrees): 7.1202 7.1202 2.9870 90.00 90.00 90.00
Fractional coordinates of all 10 atoms:
As 0.3425 0.8425 0.0000
As 0.8425 0.6575 0.0000
As 0.6575 0.1575 0.0000
As 0.1575 0.3425 0.0000
Mo 0.0000 0.0000 0.0000
Mo 0.5000 0.5000 0.0000
Tc 0.1438 0.6438 0.5000
Tc 0.6438 0.8562 0.5000
Tc 0.8562 0.3562 0.5000
Tc 0.3562 0.1438 0.5000

***

The following is a DFT calculation (PBE) of a geometry-optimized CuSiRh2 structure.

Output
The formation energy from raw total energies comes out at -0.25 eV per atom. The calculation puts the total DFT energy (no corrections) at -6.301 eV per atom. For the total moment, the calculation gives 0.0 μB/f.u. The volume comes out at 53 Å³ per cell.

Lattice parameters (Å, degrees): 2.7903 3.6796 5.2009 90.00 90.00 90.00
Fractional coordinates of all 4 atoms:
Cu 0.5000 0.5000 0.7662
Rh 0.0000 0.0000 0.9622
Rh 0.5000 0.5000 0.2824
Si 0.0000 0.0000 0.4892

***

The following is a DFT calculation (PBE) of a geometry-optimized LaTaCo2 structure.

Output
Its calculated formation energy is 47.00 kJ/mol of atoms. The calculation puts the total DFT energy (no corrections) at -7.261 eV per atom. For the total moment, the calculation gives 1.3 μB/f.u. The volume comes out at 66 Å³ per cell.

Lattice parameters (Å, degrees): 4.5257 4.5257 4.5257 60.00 60.00 60.00
Each line ends with the local moment (μB).
Fractional coordinates of all 4 atoms:
Co 0.0000 0.0000 0.0000  0.76
Co 0.7500 0.7500 0.7500  0.82
La 0.5000 0.5000 0.5000  -0.05
Ta 0.2500 0.2500 0.2500  -0.16

***

The following is a DFT calculation (PBE) of a geometry-optimized MnP2SeCl structure.

Output
The formation energy from raw total energies comes out at 0.97 eV per atom. The calculation puts the total DFT energy (no corrections) at -4.095 eV per atom. For the total moment, the calculation gives 4.3 μB/f.u. The volume comes out at 114 Å³ per cell.

Lattice parameters (Å, degrees): 4.8538 4.8538 4.8499 90.00 90.00 90.00
Each line ends with the local moment (μB).
Fractional coordinates of all 5 atoms:
P 0.0000 0.5000 0.0000  -0.13
P 0.5000 0.0000 0.0000  -0.13
Mn 0.5000 0.5000 0.5000  4.44
Se 0.0000 0.0000 0.0000  -0.01
Cl 0.0000 0.0000 0.5000  0.01

***

The following is a DFT calculation (PBE) of a geometry-optimized Pu2NpAs structure.

Output
Its calculated formation energy is -21.77 kJ/mol of atoms. The calculation puts the total DFT energy (no corrections) at -11.789 eV per atom. For the total moment, the calculation gives 14.7 μB/f.u. The volume comes out at 88 Å³ per cell.

Lattice parameters (Å, degrees): 4.4038 4.4791 4.4791 90.00 90.00 90.00
Each line ends with the local moment (μB).
Fractional coordinates of all 4 atoms:
Np 0.5000 0.5000 0.5000  3.83
As 0.5000 0.0000 0.0000  -0.11
Pu 0.0000 0.0000 0.5000  5.24
Pu 0.0000 0.5000 0.0000  5.24

***

The following is a DFT calculation (PBE) of a geometry-optimized GdTm2Hf structure.

Output
Its calculated formation energy is 19.77 kJ/mol of atoms. The calculation puts the total DFT energy (no corrections) at -8.039 eV per atom. For the total moment, the calculation gives 7.6 μB/f.u. The volume comes out at 115 Å³ per cell.

Lattice parameters (Å, degrees): 3.9189 3.9189 7.4578 90.00 90.00 90.00
Each line ends with the local moment (μB).
Fractional coordinates of all 4 atoms:
Gd 0.5000 0.5000 0.5000  7.22
Tm 0.0000 0.0000 0.7805  0.06
Tm 0.0000 0.0000 0.2195  0.06
Hf 0.5000 0.5000 0.0000  -0.03

***

The following is a DFT calculation (PBE) of a geometry-optimized NdHo5Sc structure.

Output
Its calculated formation energy is 94.55 kJ/mol of atoms. The calculation puts the total DFT energy (no corrections) at -3.876 eV per atom. For the total moment, the calculation gives 0.0 μB/f.u. The volume comes out at 275 Å³ per cell.

Lattice parameters (Å, degrees): 6.0069 8.0441 7.5929 121.99 113.30 90.00
Fractional coordinates of all 7 atoms:
Nd 0.6927 0.5000 0.0000
Ho 0.1789 0.2478 0.4955
Ho 0.1659 0.5000 0.0000
Ho 0.6834 0.7522 0.5045
Ho 0.4361 0.8238 0.0000
Ho 0.4361 0.1762 0.0000
Sc 0.9375 0.0000 0.0000

***

The following is a DFT calculation (PBE) of a geometry-optimized MgTlNiSn2 structure.

Output
Its calculated formation energy is -3.25 kJ/mol of atoms. The calculation puts the total DFT energy (no corrections) at -3.583 eV per atom. For the total moment, the calculation gives 0.0 μB/f.u. The volume comes out at 125 Å³ per cell.

Lattice parameters (Å, degrees): 4.9829 4.9829 5.0146 90.00 90.00 90.00
Fractional coordinates of all 5 atoms:
Mg 0.0000 0.0000 0.5000
Ni 0.0000 0.0000 0.0000
Tl 0.5000 0.5000 0.5000
Sn 0.0000 0.5000 0.0000
Sn 0.5000 0.0000 0.0000

***

The following is a DFT calculation (PBE) of a geometry-optimized NaCdInAg2 structure.

Output
Its calculated formation energy is 60.74 kJ/mol of atoms. The calculation puts the total DFT energy (no corrections) at -1.506 eV per atom. For the total moment, the calculation gives 0.0 μB/f.u. The volume comes out at 145 Å³ per cell.

Lattice parameters (Å, degrees): 5.1151 5.5574 5.1151 90.00 90.00 90.00
Fractional coordinates of all 5 atoms:
Na 0.0000 0.0000 0.0000
Cd 0.5000 0.5000 0.5000
Ag 0.0000 0.0000 0.5000
Ag 0.5000 0.0000 0.0000
In 0.0000 0.5000 0.0000

***

The following is a DFT calculation (PBE) of a geometry-optimized CrIrOs2 structure.

Output
Its calculated formation energy is 40.35 kJ/mol of atoms. The calculation puts the total DFT energy (no corrections) at -9.818 eV per atom. For the total moment, the calculation gives 0.7 μB/f.u. The volume comes out at 56 Å³ per cell.

Lattice parameters (Å, degrees): 3.1354 3.1354 5.7428 90.00 90.00 90.00
Each line ends with the local moment (μB).
Fractional coordinates of all 4 atoms:
Cr 0.5000 0.5000 0.2500  0.74
Ir 0.5000 0.5000 0.7500  -0.01
Os 0.0000 0.0000 0.0253  -0.04
Os 0.0000 0.0000 0.4747  -0.04

***

The following is a DFT calculation (PBE) of a geometry-optimized ThCoS2 structure.

Output
The formation energy from raw total energies comes out at -0.38 eV per atom. The calculation puts the total DFT energy (no corrections) at -6.074 eV per atom. For the total moment, the calculation gives 0.0 μB/f.u. The volume comes out at 82 Å³ per cell.

Lattice parameters (Å, degrees): 3.4822 3.4822 8.0434 77.50 77.50 60.00
Fractional coordinates of all 4 atoms:
S 0.1190 0.1190 0.6429
S 0.8810 0.8810 0.3571
Co 0.5000 0.5000 0.5000
Th 0.0000 0.0000 0.0000

***

The following is a DFT calculation (PBE) of a geometry-optimized MnZnMo structure.

Output
Its calculated formation energy is 54.46 kJ/mol of atoms. The calculation puts the total DFT energy (no corrections) at -6.527 eV per atom. For the total moment, the calculation gives 1.1 μB/f.u. The volume comes out at 48 Å³ per cell.

Lattice parameters (Å, degrees): 4.0753 4.0753 4.0753 60.00 60.00 60.00
Each line ends with the local moment (μB).
Fractional coordinates of all 3 atoms:
Mn 0.7500 0.7500 0.7500  1.73
Mo 0.0000 0.0000 0.0000  -0.71
Zn 0.5000 0.5000 0.5000  0.02